A plane-wave DFT calculation with PBE was carried out for a geometry-optimized SmB2Ru structure.

It has space group Pnma (No. 62), with a = 5.998 Å, b = 5.401 Å, c = 6.450 Å, α = 90.00°, β = 90.00° and γ = 90.00°. The asymmetric unit holds Sm at (0.009, 0.250, 0.159), B at (0.124, 0.586, 0.459) and Ru at (0.185, 0.250, 0.683).

The calculated total energy is -29.37 eV per formula unit. The value obtained for the calculated formation energy is -506 meV/atom. As for the calculated density: 8.681 g/cm3. Its density of states at the Fermi level is 0.817 states/eV per atom. The calculation puts the energy above the most stable polymorph in this dataset at 0.0000 eV per atom.